SrLaDy2 GGA-PBE relaxed; formation energy from the elements = 0.5 eV/f.u.; SG = P4/mmm; E_tot = -15.28 eV for the cell shown
1.0
3.752 0.000 0.000
0.000 3.752 0.000
0.000 0.000 10.593
Sr La Dy
1 1 2
direct
0.000 0.000 0.000
0.000 0.000 0.500
0.500 0.500 0.274
0.500 0.500 0.726